a | Here is a relaxed Mn3TeAs crystal from Alexandria. Energies are from GGA-PBE.

Summary:
Size of the total moment = 12.76 μB/f.u.

a = 5.0073 Å, b = 5.0073 Å, c = 5.0073 Å
α = 90.00°, β = 90.00°, γ = 90.00°
Space group Pm-3m (No. 221)
Symmetry-distinct sites (fractional):
Mn 0.0000 0.0000 0.5000 [3 per cell]
Te 0.0000 0.0000 0.0000 [1 per cell]
As 0.5000 0.5000 0.5000 [1 per cell]

b | Here is a relaxed Mn3TeAs crystal from Alexandria. Energies are from GGA-PBE.

Summary:
Size of the total moment = 13.48 μB/f.u.

a = 4.8317 Å, b = 4.8317 Å, c = 4.8317 Å
α = 90.00°, β = 90.00°, γ = 90.00°
Space group Pm-3m (No. 221)
Symmetry-distinct sites (fractional):
Mn 0.0000 0.0000 0.5000 [3 per cell]
Te 0.5000 0.5000 0.5000 [1 per cell]
As 0.0000 0.0000 0.0000 [1 per cell]

Out of the structures above, which one is the least stable? Solution: a.